Entry 1:
Compound: Ni2PdWN
Source: Alexandria via LeMat-Bulk
Functional: PBE
Structure: optimized geometry

The structure belongs to space group P4/mmm (No. 123); the cell edges are 3.881, 3.881 and 4.006 Å and the angles 90.00°, 90.00° and 90.00°. The asymmetric unit holds Ni at (0.000, 0.500, 0.000), Pd at (0.000, 0.000, 0.500), W at (0.500, 0.500, 0.500) and N at (0.500, 0.500, 0.000).

Its density of states at the Fermi level is 5.2 states/eV/cell. For the total energy, the calculation gives -38.088 eV/cell. The value obtained for the uncorrected formation energy is -0.01 eV per atom.

---

Entry 2:
Compound: NiPdWN2
Source: Alexandria via LeMat-Bulk
Functional: PBE
Structure: optimized geometry

The structure belongs to space group P4/mmm (No. 123); the cell edges are 3.690, 3.690 and 4.599 Å and the angles 90.00°, 90.00° and 90.00°. The asymmetric unit holds Ni at (0.000, 0.000, 0.000), Pd at (0.000, 0.000, 0.500), W at (0.500, 0.500, 0.500) and N at (0.000, 0.500, 0.000).

Its density of states at the Fermi level is 4.8 states/eV/cell. For the total energy, the calculation gives -32.074 eV/cell. The value obtained for the uncorrected formation energy is 1.70 eV per atom.

---

Entry 3:
Compound: ZnNi2PdN
Source: Alexandria via LeMat-Bulk
Functional: PBE
Structure: optimized geometry

The structure belongs to space group P4/mmm (No. 123); the cell edges are 3.729, 3.729 and 4.262 Å and the angles 90.00°, 90.00° and 90.00°. The asymmetric unit holds Zn at (0.000, 0.000, 0.000), Ni at (0.000, 0.500, 0.500), Pd at (0.500, 0.500, 0.000) and N at (0.500, 0.500, 0.500).

As for the energy above the most stable polymorph in this dataset: 0 meV/atom. Its density of states at the Fermi level is 3.3 states/eV/cell. For the total energy, the calculation gives -26.722 eV/cell. The value obtained for the uncorrected formation energy is -0.07 eV per atom.

---

Entry 4:
Compound: ZnNi2PdN
Source: Alexandria via LeMat-Bulk
Functional: PBE
Structure: optimized geometry

The structure belongs to space group P4/mmm (No. 123); the cell edges are 3.726, 3.726 and 4.201 Å and the angles 90.00°, 90.00° and 90.00°. The asymmetric unit holds Zn at (0.000, 0.000, 0.000), Ni at (0.000, 0.500, 0.500), Pd at (0.500, 0.500, 0.000) and N at (0.000, 0.000, 0.500).

As for the energy above the most stable polymorph in this dataset: 29 meV/atom. Its density of states at the Fermi level is 2.9 states/eV/cell. For the total energy, the calculation gives -26.578 eV/cell. The value obtained for the uncorrected formation energy is -0.04 eV per atom.

---

Entry 5:
Compound: Zr2NiPdN
Source: Alexandria via LeMat-Bulk
Functional: PBE
Structure: optimized geometry

The structure belongs to space group P4/mmm (No. 123); the cell edges are 4.480, 4.480 and 3.785 Å and the angles 90.00°, 90.00° and 90.00°. The asymmetric unit holds Zr at (0.000, 0.500, 0.000), Ni at (0.000, 0.000, 0.500), Pd at (0.500, 0.500, 0.500) and N at (0.000, 0.000, 0.000).

Its density of states at the Fermi level is 3.9 states/eV/cell. For the total energy, the calculation gives -40.569 eV/cell. The value obtained for the uncorrected formation energy is -0.83 eV per atom.

---

Entry 6:
Compound: Pm4Ni2N
Source: Alexandria via LeMat-Bulk
Functional: PBE
Structure: optimized geometry

The structure belongs to space group I4/mmm (No. 139); the cell edges are 4.878, 4.878 and 13.684 Å and the angles 90.00°, 90.00° and 90.00°. The asymmetric unit holds Pm at (0.000, 0.000, 0.185), Pm at (0.000, 0.500, 0.000), Ni at (0.000, 0.000, 0.381) and N at (0.000, 0.000, 0.000).

Its density of states at the Fermi level is 15.3 states/eV/cell. For the total energy, the calculation gives -83.844 eV/cell. The value obtained for the uncorrected formation energy is -0.43 eV per atom.